Crystalline HgWO4 at its relaxed geometry, computed with PBE+U.

Its theoretical density is 9.72 g/cm³. The value obtained for the size of the total moment is 0.000 μB per atom. The total DFT energy (no corrections) is -274.55 eV/cell.

It has space group Cmce (No. 64), with a = 7.495 Å, b = 15.444 Å, c = 5.296 Å, α = 90.00°, β = 90.00° and γ = 90.00°. Symmetry generates all atoms from Hg at (0.250, 0.182, 0.250), W at (0.000, 0.083, 0.690), O at (0.000, 0.081, 0.027), O at (0.000, 0.186, 0.459), O at (0.154, 0.000, 0.500) and O at (0.250, 0.139, 0.750).